Compound: LaIr2Se
Source: Alexandria via LeMat-Bulk
Functional: SCAN
Structure: single point on PBEsol structure

Cell: 4.7502 4.7502 4.7502 Å, 60.00 60.00 60.00°
Last column: nearest neighbours and their distance in Å.
Sites, in units of the cell vectors:
Ir 0.7500 0.7500 0.7500  4 La 2.91, 4 Se 2.91
Ir 0.2500 0.2500 0.2500  4 La 2.91, 4 Se 2.91
La 0.0000 0.0000 0.0000  8 Ir 2.91
Se 0.5000 0.5000 0.5000  8 Ir 2.91

## Properties
SG: Fm-3m
N(E_F): 0.582 states/eV/atom
energy above the most stable polymorph in this dataset: 777.3 meV/atom
density: 13.20 g/cm³
total moment: 1.48 μB/f.u.
final energy: -51.08 eV/atom